Record 1
Compound: Ho6TcTe2
Source: the Open Quantum Materials Database
Functional: GGA-PBE
Structure: relaxed

a = 8.2814 Å, b = 8.2814 Å, c = 4.0637 Å
α = 90.00°, β = 90.00°, γ = 120.00°
Space group P-62m (No. 189)
One atom of each set of equivalent atoms:
Ho: 0.0000 0.3903 0.0000
Ho: 0.0000 0.7615 0.5000
Tc: 0.0000 0.0000 0.0000
Te: 0.3333 0.6667 0.5000

***

Record 2
Compound: Ho2ThTc
Source: the Open Quantum Materials Database
Functional: GGA-PBE
Structure: relaxed

The formation energy from the elements is -175 meV per atom.

a = 7.330 Å, b = 9.478 Å, c = 6.358 Å
α = 90.00°, β = 90.00°, γ = 90.00°
Space group Pnma (No. 62)
One atom of each set of equivalent atoms:
Ho: 0.175 0.066 0.169
Th: 0.049 0.250 0.641
Tc: 0.128 0.750 0.983

***

Record 3
Compound: HoTlTc
Source: the Open Quantum Materials Database
Functional: GGA-PBE
Structure: relaxed

a = 6.677 Å, b = 6.677 Å, c = 6.677 Å
α = 90.00°, β = 90.00°, γ = 90.00°
Space group F-43m (No. 216)
One atom of each set of equivalent atoms:
Ho: 0.000 0.000 0.000
Tl: 0.250 0.250 0.250
Tc: 0.000 0.000 0.500

***

Record 4
Compound: Ho4TlTc
Source: the Open Quantum Materials Database
Functional: GGA-PBE
Structure: relaxed

a = 8.678 Å, b = 12.850 Å, c = 6.216 Å
α = 90.00°, β = 106.97°, γ = 90.00°
Space group C2/c (No. 15)
One atom of each set of equivalent atoms:
Ho: 0.107 0.168 0.047
Ho: 0.224 0.422 0.394
Tl: 0.000 0.375 0.750
Tc: 0.000 0.000 0.250

***

Record 5
Compound: HoTmTc
Source: the Open Quantum Materials Database
Functional: GGA-PBE
Structure: relaxed

The formation energy from the elements is 918 meV per atom.

a = 6.692 Å, b = 6.692 Å, c = 6.692 Å
α = 90.00°, β = 90.00°, γ = 90.00°
Space group F-43m (No. 216)
One atom of each set of equivalent atoms:
Ho: 0.000 0.000 0.000
Tm: 0.250 0.250 0.250
Tc: 0.000 0.000 0.500

***

Record 6
Compound: HoUTc2
Source: the Open Quantum Materials Database
Functional: GGA-PBE
Structure: relaxed

The formation energy from the elements is -169 meV per atom.

a = 3.366 Å, b = 3.366 Å, c = 6.959 Å
α = 90.00°, β = 90.00°, γ = 90.00°
Space group P4/mmm (No. 123)
One atom of each set of equivalent atoms:
Ho: 0.000 0.000 0.000
U: 0.000 0.000 0.500
Tc: 0.500 0.500 0.291

***

Record 7
Compound: HoTcW
Source: the Open Quantum Materials Database
Functional: GGA-PBE
Structure: relaxed

The formation energy from the elements is 714 meV per atom.

a = 6.314 Å, b = 6.314 Å, c = 6.314 Å
α = 90.00°, β = 90.00°, γ = 90.00°
Space group F-43m (No. 216)
One atom of each set of equivalent atoms:
Ho: 0.000 0.000 0.000
Tc: 0.000 0.000 0.500
W: 0.250 0.250 0.250

***

Record 8
Compound: HoZnTc
Source: the Open Quantum Materials Database
Functional: GGA-PBE
Structure: relaxed

The formation energy from the elements is 370 meV per atom. As for the energy relative to the lowest polymorph listed for this composition: 0 meV/atom.

a = 6.273 Å, b = 6.273 Å, c = 6.273 Å
α = 90.00°, β = 90.00°, γ = 90.00°
Space group F-43m (No. 216)
One atom of each set of equivalent atoms:
Ho: 0.000 0.000 0.000
Zn: 0.250 0.250 0.250
Tc: 0.000 0.000 0.500

***

Record 9
Compound: HoZnTc
Source: the Open Quantum Materials Database
Functional: GGA-PBE
Structure: relaxed

The formation energy from the elements is 995 meV per atom. As for the energy relative to the lowest polymorph listed for this composition: 625 meV/atom.

a = 6.503 Å, b = 6.503 Å, c = 6.503 Å
α = 90.00°, β = 90.00°, γ = 90.00°
Space group F-43m (No. 216)
One atom of each set of equivalent atoms:
Ho: 0.000 0.000 0.000
Zn: 0.250 0.250 0.250
Tc: 0.250 0.250 0.750

***

Record 10
Compound: HoZrTc
Source: the Open Quantum Materials Database
Functional: GGA-PBE
Structure: relaxed

The formation energy from the elements is 678 meV per atom.

a = 6.523 Å, b = 6.523 Å, c = 6.523 Å
α = 90.00°, β = 90.00°, γ = 90.00°
Space group F-43m (No. 216)
One atom of each set of equivalent atoms:
Ho: 0.000 0.000 0.000
Zr: 0.250 0.250 0.250
Tc: 0.000 0.000 0.500

***

Record 11
Compound: Ho2Te
Source: the Open Quantum Materials Database
Functional: GGA-PBE
Structure: relaxed

a = 8.954 Å, b = 8.954 Å, c = 8.954 Å
α = 90.00°, β = 90.00°, γ = 90.00°
Space group Fd-3m (No. 227, origin choice 2)
One atom of each set of equivalent atoms:
Ho: 0.000 0.000 0.000
Te: 0.125 0.125 0.625

***

Record 12
Compound: Ho2Te3
Source: the Open Quantum Materials Database
Functional: GGA-PBE
Structure: relaxed

a = 8.688 Å, b = 12.261 Å, c = 25.988 Å
α = 90.00°, β = 90.00°, γ = 90.00°
Space group Fddd (No. 70, origin choice 2)
One atom of each set of equivalent atoms:
Ho: 0.125 0.125 0.042
Ho: 0.125 0.125 0.375
Te: 0.123 0.375 0.875
Te: 0.124 0.375 0.208

***

Short version: DFT total energy = -5.562 -6.907 -5.127 -5.401 -5.553 -9.318 -8.585 -5.031 -4.405 -7.150 -4.221 -5.118 eV/atom, in the order given.